# 1
Here is an optimized crystal structure of Tb2PmSm3P6 from Alexandria. Energies are from PBE.

Calculated values
Fermi-level density of states = 0.126 states/eV/atom
Formation energy from the elements = -1.581 eV/atom
Space-group type = No. 12
Total moment = 0.0000 μB/atom
Volume = 24.11 Å³/atom
Density = 6.31 g/cm³

Lattice parameters (Å, degrees): 7.0756 7.0756 7.0771 99.58 99.58 119.99
Last column: nearest neighbours and their distance in Å.
Positions (direct):
P1 0.2543 0.2543 0.7530  2 Tb 2.87, 3 Sm 2.88-2.91, 1 Pm 2.90
P2 0.5809 0.9175 0.7526  2 Tb 2.87, 3 Sm 2.89-2.91, 1 Pm 2.90
P3 0.9175 0.5809 0.7526  2 Tb 2.87, 3 Sm 2.89-2.91, 1 Pm 2.90
P4 0.0825 0.4191 0.2474  2 Tb 2.87, 3 Sm 2.89-2.91, 1 Pm 2.90
P5 0.7457 0.7457 0.2470  2 Tb 2.87, 3 Sm 2.88-2.91, 1 Pm 2.90
P6 0.4191 0.0825 0.2474  2 Tb 2.87, 3 Sm 2.89-2.91, 1 Pm 2.90
Pm1 0.0000 0.0000 0.0000  6 P 2.90
Sm1 0.5000 0.5000 0.5000  6 P 2.88-2.91
Sm2 0.8339 0.1661 0.5000  6 P 2.89-2.91
Sm3 0.1661 0.8339 0.5000  6 P 2.89-2.91
Tb1 0.6668 0.3332 0.0000  6 P 2.87
Tb2 0.3332 0.6668 0.0000  6 P 2.87

# 2
Here is an optimized crystal structure of TiRe2B from Alexandria. Energies are from PBE.

Calculated values
Fermi-level density of states = 0.983 states/eV/atom
Formation energy from the elements = 0.580 eV/atom
Space-group type = No. 122
Total moment = 0.0000 μB/atom
Volume = 14.93 Å³/atom
Density = 11.99 g/cm³

Lattice parameters (Å, degrees): 3.7686 3.7686 8.8221 77.67 77.67 90.00
Last column: nearest neighbours and their distance in Å.
Positions (direct):
Re1 0.3750 0.4289 0.7500  2 Re 2.39, 2 B 2.42, 2 Ti 2.57
Re2 0.1789 0.6250 0.2500  2 Re 2.39, 2 B 2.42, 2 Ti 2.57
Re3 0.8750 0.8211 0.7500  2 Re 2.39, 2 B 2.42, 2 Ti 2.57
Re4 0.5711 0.1250 0.2500  2 Re 2.39, 2 B 2.42, 2 Ti 2.57
Ti1 0.0000 0.0000 0.0000  4 Re 2.57, 4 B 2.66
Ti2 0.7500 0.2500 0.5000  4 Re 2.57, 4 B 2.66
B1 0.5000 0.5000 0.0000  4 Re 2.42, 4 Ti 2.66
B2 0.2500 0.7500 0.5000  4 Re 2.42, 4 Ti 2.66

# 3
Here is an optimized crystal structure of ZnBiRu2 from Alexandria. Energies are from PBE.

Calculated values
Fermi-level density of states = 0.547 states/eV/atom
Formation energy from the elements = 0.220 eV/atom
Space-group type = No. 225
Total moment = 0.0000 μB/atom
Volume = 16.29 Å³/atom
Density = 12.14 g/cm³

Lattice parameters (Å, degrees): 4.5171 4.5171 4.5171 60.00 60.00 60.00
Last column: nearest neighbours and their distance in Å.
Positions (direct):
Ru1 0.2500 0.2500 0.2500  4 Bi 2.77, 4 Zn 2.77
Ru2 0.7500 0.7500 0.7500  4 Zn 2.77, 4 Bi 2.77
Zn1 0.0000 0.0000 0.0000  8 Ru 2.77
Bi1 0.5000 0.5000 0.5000  8 Ru 2.77

# 4
Here is an optimized crystal structure of AlP2CS from Alexandria. Energies are from PBE.

Calculated values
Fermi-level density of states = 0.635 states/eV/atom
Space-group type = No. 123
Total moment = 0.0000 μB/atom
Raw formation energy = 0.989 eV/atom
Volume = 13.61 Å³/atom
Offset from the most stable computed form = 0.0 meV per atom
Density = 3.25 g/cm³

Lattice parameters (Å, degrees): 4.0246 4.0246 4.2013 90.00 90.00 90.00
Last column: nearest neighbours and their distance in Å.
Positions (direct):
P1 0.0000 0.5000 0.0000  2 C 2.01
P2 0.5000 0.0000 0.0000  2 C 2.01
C1 0.0000 0.0000 0.0000  4 P 2.01, 2 S 2.10
Al1 0.5000 0.5000 0.5000  4 S 2.85, 8 P 2.91
S1 0.0000 0.0000 0.5000  2 C 2.10

# 5
Here is an optimized crystal structure of Ba2OsRhO6 from Alexandria. Energies are from PBE.

Calculated values
Fermi-level density of states = 0.406 states/eV/atom
Space-group type = No. 166
Total moment = 0.2721 μB/atom
Raw formation energy = -1.666 eV/atom
Volume = 14.53 Å³/atom
Density = 7.59 g/cm³

Lattice parameters (Å, degrees): 5.8478 5.8478 10.3764 73.63 73.63 60.00
Last column: nearest neighbours and their distance in Å.
Positions (direct):
O1 0.8025 0.2757 0.1194  1 Os 1.98, 1 Rh 2.08
O2 0.7243 0.1975 0.8806  1 Os 1.98, 1 Rh 2.08
O3 0.8025 0.8025 0.1194  1 Os 1.98, 1 Rh 2.08
O4 0.1975 0.7243 0.8806  1 Os 1.98, 1 Rh 2.08
O5 0.6083 0.1514 0.6319  1 Os 2.01, 1 Rh 2.06
O6 0.6083 0.6083 0.6319  1 Os 2.01, 1 Rh 2.06
O7 0.1514 0.6083 0.6319  1 Os 2.01, 1 Rh 2.06
O8 0.2757 0.8025 0.1194  1 Os 1.98, 1 Rh 2.08
O9 0.1975 0.1975 0.8806  1 Os 1.98, 1 Rh 2.08
O10 0.3917 0.8486 0.3681  1 Os 2.01, 1 Rh 2.06
O11 0.8486 0.3917 0.3681  1 Os 2.01, 1 Rh 2.06
O12 0.3917 0.3917 0.3681  1 Os 2.01, 1 Rh 2.06
Rh1 0.5905 0.5905 0.2284  6 O 2.06-2.08
Rh2 0.4095 0.4095 0.7716  6 O 2.06-2.08
Os1 0.5000 0.5000 0.5000  6 O 2.01
Os2 0.0000 0.0000 0.0000  6 O 1.98
Ba1 0.1217 0.1217 0.6348  12 O 2.89-3.20
Ba2 0.7114 0.7114 0.8658  12 O 2.93-3.06
Ba3 0.8783 0.8783 0.3652  12 O 2.89-3.20
Ba4 0.2886 0.2886 0.1342  12 O 2.93-3.06

# 6
Here is an optimized crystal structure of Sr2LiAlIr from Alexandria. Energies are from PBE.

Calculated values
Fermi-level density of states = 0.766 states/eV/atom
Formation energy from the elements = -0.159 eV/atom
Space-group type = No. 123
Total moment = 0.0000 μB/atom
Volume = 33.24 Å³/atom
Density = 4.01 g/cm³

Lattice parameters (Å, degrees): 5.8755 5.8755 4.8141 90.00 90.00 90.00
Last column: nearest neighbours and their distance in Å.
Positions (direct):
Li1 0.5000 0.5000 0.5000  8 Sr 3.80, 4 Al 4.15
Ir1 0.0000 0.0000 0.0000  2 Al 2.41
Sr1 0.0000 0.5000 0.0000  2 Ir 2.94
Sr2 0.5000 0.0000 0.0000  2 Ir 2.94
Al1 0.0000 0.0000 0.5000  2 Ir 2.41

# 7
Here is an optimized crystal structure of InMoSe2N from Alexandria. Energies are from PBE.

Calculated values
Fermi-level density of states = 0.445 states/eV/atom
Space-group type = No. 123
Total moment = 0.0000 μB/atom
Raw formation energy = -0.007 eV/atom
Volume = 20.38 Å³/atom
Offset from the most stable computed form = 0.0 meV per atom
Density = 6.24 g/cm³

Lattice parameters (Å, degrees): 5.1604 5.1604 3.8260 90.00 90.00 90.00
Last column: nearest neighbours and their distance in Å.
Positions (direct):
Se1 0.5000 0.0000 0.0000  2 Mo 2.58
Se2 0.0000 0.5000 0.0000  2 Mo 2.58
In1 0.5000 0.5000 0.5000  8 Se 3.21
N1 0.0000 0.0000 0.5000  2 Mo 1.91
Mo1 0.0000 0.0000 0.0000  2 N 1.91

# 8
Here is an optimized crystal structure of Sr5ZnO6 from Alexandria. Energies are from PBE.

Calculated values
Fermi-level density of states = 0.000 states/eV/atom
Space-group type = No. 12
Total moment = 0.0000 μB/atom
Raw formation energy = -2.408 eV/atom
Volume = 16.59 Å³/atom
Density = 5.00 g/cm³

Lattice parameters (Å, degrees): 6.1568 6.1638 6.2975 60.70 81.70 72.83
Last column: nearest neighbours and their distance in Å.
Positions (direct):
Zn1 0.0000 0.0000 0.0000  2 O 2.10
O1 0.7387 0.4283 0.6657  5 Sr 2.48-2.62, 1 Zn 2.65
O2 0.2613 0.9060 0.6657  5 Sr 2.48-2.62, 1 Zn 2.65
O3 0.7914 0.7856 0.0000  1 Zn 2.10
O4 0.2086 0.2144 0.0000  1 Zn 2.10
O5 0.2613 0.5717 0.3343  5 Sr 2.48-2.62, 1 Zn 2.65
O6 0.7387 0.0940 0.3343  5 Sr 2.48-2.62, 1 Zn 2.65
Sr1 0.5000 0.1631 0.6739  6 O 2.48-2.60
Sr2 0.0000 0.6699 0.6601  6 O 2.48-2.63
Sr3 0.5000 0.8369 0.3261  6 O 2.48-2.60
Sr4 0.0000 0.3301 0.3399  6 O 2.48-2.63
Sr5 0.5000 0.5000 0.0000  4 O 2.53

# 9
Here is an optimized crystal structure of Ba2Zn2P from Alexandria. Energies are from PBE.

Calculated values
Fermi-level density of states = 0.768 states/eV/atom
Formation energy from the elements = -0.228 eV/atom
Space-group type = No. 127
Total moment = 0.0000 μB/atom
Volume = 29.03 Å³/atom
Offset from the most stable computed form = 166.9 meV per atom
Density = 4.99 g/cm³

Lattice parameters (Å, degrees): 7.7385 7.7385 4.8469 90.00 90.00 90.00
Last column: nearest neighbours and their distance in Å.
Positions (direct):
P1 0.0000 0.0000 0.0000  4 Zn 3.11
P2 0.5000 0.5000 0.0000  4 Zn 3.11
Ba1 0.3093 0.1907 0.5000  6 Zn 3.22-3.44
Ba2 0.6907 0.8093 0.5000  6 Zn 3.22-3.44
Ba3 0.8093 0.3093 0.5000  6 Zn 3.22-3.44
Ba4 0.1907 0.6907 0.5000  6 Zn 3.22-3.44
Zn1 0.1151 0.3849 0.0000  1 Zn 2.52
Zn2 0.6151 0.1151 0.0000  1 Zn 2.52
Zn3 0.3849 0.8849 0.0000  1 Zn 2.52
Zn4 0.8849 0.6151 0.0000  1 Zn 2.52

# 10
Here is an optimized crystal structure of NaPr2ScSe4 from Alexandria. Energies are from PBE.

Calculated values
Fermi-level density of states = 0.388 states/eV/atom
Space-group type = No. 10
Total moment = 0.0000 μB/atom
Raw formation energy = -1.676 eV/atom
Volume = 25.20 Å³/atom
Density = 5.48 g/cm³

Lattice parameters (Å, degrees): 4.1366 7.2357 7.1307 109.17 90.00 90.00
Last column: nearest neighbours and their distance in Å.
Positions (direct):
Pr1 0.5000 0.0000 0.5000  6 Se 2.97-2.98
Pr2 0.0000 0.5000 0.5000  6 Se 3.05
Se1 0.0000 0.7546 0.2342  1 Sc 2.81, 2 Na 2.91, 3 Pr 2.97-3.05
Se2 0.0000 0.2454 0.7658  1 Sc 2.81, 2 Na 2.91, 3 Pr 2.97-3.05
Se3 0.5000 0.2350 0.2260  2 Sc 2.82, 1 Na 2.88, 3 Pr 2.98-3.05
Se4 0.5000 0.7650 0.7740  2 Sc 2.82, 1 Na 2.88, 3 Pr 2.98-3.05
Na1 0.5000 0.5000 0.0000  6 Se 2.88-2.91
Sc1 0.0000 0.0000 0.0000  6 Se 2.81-2.82

# 11
Here is an optimized crystal structure of LiReNi2 from Alexandria. Energies are from PBE.

Calculated values
Fermi-level density of states = 1.393 states/eV/atom
Formation energy from the elements = 0.337 eV/atom
Space-group type = No. 47
Total moment = 0.0966 μB/atom
Volume = 12.06 Å³/atom
Offset from the most stable computed form = 331.8 meV per atom
Density = 10.69 g/cm³

Lattice parameters (Å, degrees): 2.6169 4.3106 4.2763 90.00 90.00 90.00
Last column: nearest neighbours and their distance in Å.
Positions (direct):
Li1 0.0000 0.5000 0.5000  4 Ni 2.51, 4 Re 2.52, 2 Li 2.62
Re1 0.5000 0.0000 0.5000  4 Ni 2.51, 4 Li 2.52, 2 Re 2.62
Ni1 0.0000 0.0000 0.0000  4 Re 2.51, 6 Ni 2.52-2.62
Ni2 0.5000 0.5000 0.0000  4 Li 2.51, 6 Ni 2.52-2.62

# 12
Here is an optimized crystal structure of ZnGa3Cl from Alexandria. Energies are from PBE.

Calculated values
Fermi-level density of states = 0.506 states/eV/atom
Space-group type = No. 221
Total moment = 0.0000 μB/atom
Raw formation energy = 0.362 eV/atom
Volume = 30.58 Å³/atom
Offset from the most stable computed form = 333.5 meV per atom
Density = 3.37 g/cm³

Lattice parameters (Å, degrees): 5.3473 5.3473 5.3473 90.00 90.00 90.00
Last column: nearest neighbours and their distance in Å.
Positions (direct):
Zn1 0.5000 0.5000 0.5000  12 Ga 3.78
Ga1 0.0000 0.0000 0.5000  2 Cl 2.67
Ga2 0.0000 0.5000 0.0000  2 Cl 2.67
Ga3 0.5000 0.0000 0.0000  2 Cl 2.67
Cl1 0.0000 0.0000 0.0000  6 Ga 2.67